Compound: Si2HgSb
Source: the Alexandria database
Functional: PBE
Structure: relaxed

Summary:
uncorrected formation energy = 1.39 eV/f.u.
energy relative to the lowest polymorph listed for this composition = 63.8 meV/atom
N(E_F) = 1.3 states/eV per cell
total energy = -13.88 eV/cell

Structure (CIF):
```
data_Si2HgSb
_chemical_formula_sum 'Si2 Hg1 Sb1'
_cell_length_a 3.410
_cell_length_b 3.410
_cell_length_c 8.089
_cell_angle_alpha 90.00
_cell_angle_beta 90.00
_cell_angle_gamma 90.00
_symmetry_space_group_name_H-M 'P 4 m m'
_symmetry_Int_Tables_number 99
loop_
_symmetry_equiv_pos_as_xyz
'x,y,z'
'-y,x,z'
'-x,-y,z'
'y,-x,z'
'-x,y,z'
'y,x,z'
'x,-y,z'
'-y,-x,z'
loop_
_atom_site_label
_atom_site_type_symbol
_atom_site_fract_x
_atom_site_fract_y
_atom_site_fract_z
Si1 Si 0.000 0.000 0.000
Si2 Si 0.500 0.500 0.077
Hg1 Hg 0.000 0.000 0.391
Sb1 Sb 0.500 0.500 0.746
```

---

Compound: Si2HgSb
Source: the Alexandria database
Functional: PBE
Structure: relaxed

Summary:
uncorrected formation energy = 2.27 eV/f.u.
energy relative to the lowest polymorph listed for this composition = 283.6 meV/atom
N(E_F) = 2.3 states/eV per cell
total energy = -13.00 eV/cell

Structure (CIF):
```
data_Si2HgSb
_chemical_formula_sum 'Si2 Hg1 Sb1'
_cell_length_a 3.585
_cell_length_b 3.585
_cell_length_c 7.172
_cell_angle_alpha 90.00
_cell_angle_beta 90.00
_cell_angle_gamma 90.00
_symmetry_space_group_name_H-M 'P 4/m m m'
_symmetry_Int_Tables_number 123
_symmetry_space_group_name_Hall '-P 4 2'
loop_
_atom_site_label
_atom_site_type_symbol
_atom_site_fract_x
_atom_site_fract_y
_atom_site_fract_z
Si1 Si 0.000 0.000 0.195
Hg1 Hg 0.500 0.500 0.500
Sb1 Sb 0.500 0.500 0.000
```

---

Compound: Si2HgSb
Source: the Alexandria database
Functional: PBE
Structure: relaxed

Summary:
uncorrected formation energy = 2.66 eV/f.u.
energy relative to the lowest polymorph listed for this composition = 381.1 meV/atom
N(E_F) = 15.4 states/eV per cell
total energy = -50.44 eV/cell

Structure (CIF):
```
data_Si2HgSb
_chemical_formula_sum 'Si8 Hg4 Sb4'
_cell_length_a 7.004
_cell_length_b 7.004
_cell_length_c 7.004
_cell_angle_alpha 90.00
_cell_angle_beta 90.00
_cell_angle_gamma 90.00
_symmetry_space_group_name_H-M 'F -4 3 m'
_symmetry_Int_Tables_number 216
_symmetry_space_group_name_Hall 'F -4 2 3'
loop_
_atom_site_label
_atom_site_type_symbol
_atom_site_fract_x
_atom_site_fract_y
_atom_site_fract_z
Si1 Si 0.000 0.000 0.000
Si2 Si 0.250 0.250 0.250
Hg1 Hg 0.250 0.250 0.750
Sb1 Sb 0.000 0.000 0.500
```

---

| no. | total magnetization (μB per cell) |
| --- | --- |
| 1 | 0.00 |
| 2 | 0.00 |
| 3 | 0.00 |